No. 1
Below is Al2SiMo after structural relaxation, with properties calculated at the PBEsol level.

The structure belongs to space group P4mm (No. 99); the cell edges are 3.318, 3.318 and 5.293 Å and the angles 90.00°, 90.00° and 90.00°. The distinct sites, in fractional coordinates, are Al at (0.000, 0.000, 0.000), Al at (0.500, 0.500, 0.260), Si at (0.500, 0.500, 0.742) and Mo at (0.000, 0.000, 0.516).



No. 2
Below is AlSiMo2 after structural relaxation, with properties calculated at the PBEsol level.

The structure belongs to space group Pmmm (No. 47); the cell edges are 3.216, 4.065 and 4.400 Å and the angles 90.00°, 90.00° and 90.00°. The distinct sites, in fractional coordinates, are Al at (0.000, 0.000, 0.000), Si at (0.500, 0.000, 0.500), Mo at (0.000, 0.500, 0.500) and Mo at (0.500, 0.500, 0.000).



No. 3
Below is Al4Si2Mo3 after structural relaxation, with properties calculated at the PBEsol level.

The structure belongs to space group C2 (No. 5); the cell edges are 4.810, 8.208 and 13.305 Å and the angles 90.00°, 99.75° and 90.00°. The distinct sites, in fractional coordinates, are Al at (0.000, 0.000, 0.000), Al at (0.000, 0.330, 0.000), Al at (0.161, 0.559, 0.832), Al at (0.170, 0.819, 0.332), Al at (0.173, 0.489, 0.335), Si at (0.000, 0.062, 0.500), Si at (0.000, 0.736, 0.500), Si at (0.157, 0.228, 0.833), Mo at (0.000, 0.398, 0.500), Mo at (0.000, 0.665, 0.000), Mo at (0.162, 0.896, 0.834) and Mo at (0.170, 0.154, 0.338).



No. 4
Below is Sm6Al43Mo4 after structural relaxation, with properties calculated at the PBEsol level.

The structure belongs to space group P6_3/mcm (No. 193); the cell edges are 10.9622, 10.9622 and 17.7426 Å and the angles 90.00°, 90.00° and 120.00°. The distinct sites, in fractional coordinates, are Sm at (0.0000, 0.4692, 0.0950), Al at (0.0000, 0.1472, 0.7500), Al at (0.0000, 0.1589, 0.1149), Al at (0.0000, 0.2523, 0.5304), Al at (0.1475, 0.5506, 0.2500), Al at (0.1576, 0.3932, 0.6646), Al at (0.2470, 0.4941, 0.0000), Al at (0.3333, 0.6667, 0.1262), Mo at (0.0000, 0.0000, 0.0000) and Mo at (0.0000, 0.2690, 0.2500).



No. 5
Below is SrAl2Mo after structural relaxation, with properties calculated at the PBEsol level.

The structure belongs to space group I4/mmm (No. 139); the cell edges are 4.379, 4.379 and 8.062 Å and the angles 90.00°, 90.00° and 90.00°. The distinct sites, in fractional coordinates, are Sr at (0.000, 0.000, 0.000), Al at (0.000, 0.500, 0.250) and Mo at (0.000, 0.000, 0.500).



No. 6
Below is SrAl2Mo after structural relaxation, with properties calculated at the PBEsol level.

The structure belongs to space group I-4m2 (No. 119); the cell edges are 4.166, 4.166 and 9.255 Å and the angles 90.00°, 90.00° and 90.00°. The distinct sites, in fractional coordinates, are Sr at (0.000, 0.000, 0.000), Al at (0.000, 0.000, 0.500), Al at (0.000, 0.500, 0.250) and Mo at (0.000, 0.500, 0.750).



No. 7
Below is SrAl2Mo after structural relaxation, with properties calculated at the PBEsol level.

The structure belongs to space group Imm2 (No. 44); the cell edges are 2.877, 5.215 and 10.538 Å and the angles 90.00°, 90.00° and 90.00°. The distinct sites, in fractional coordinates, are Sr at (0.000, 0.000, 0.000), Al at (0.000, 0.000, 0.513), Al at (0.000, 0.500, 0.782) and Mo at (0.000, 0.500, 0.221).



No. 8
Below is SrAlMo2 after structural relaxation, with properties calculated at the PBEsol level.

The structure belongs to space group P4mm (No. 99); the cell edges are 3.255, 3.255 and 7.585 Å and the angles 90.00°, 90.00° and 90.00°. The distinct sites, in fractional coordinates, are Sr at (0.000, 0.000, 0.000), Al at (0.500, 0.500, 0.324), Mo at (0.000, 0.000, 0.522) and Mo at (0.500, 0.500, 0.686).



No. 9
Below is SrAlMo2 after structural relaxation, with properties calculated at the PBEsol level.

The structure belongs to space group F-43m (No. 216); the cell edges are 6.680, 6.680 and 6.680 Å and the angles 90.00°, 90.00° and 90.00°. The distinct sites, in fractional coordinates, are Sr at (0.000, 0.000, 0.000), Al at (0.250, 0.250, 0.250), Mo at (0.000, 0.000, 0.500) and Mo at (0.250, 0.250, 0.750).



No. 10
Below is SrAl2Mo after structural relaxation, with properties calculated at the PBEsol level.

The structure belongs to space group P4mm (No. 99); the cell edges are 3.406, 3.406 and 7.439 Å and the angles 90.00°, 90.00° and 90.00°. The distinct sites, in fractional coordinates, are Sr at (0.000, 0.000, 0.000), Al at (0.000, 0.000, 0.554), Al at (0.500, 0.500, 0.338) and Mo at (0.500, 0.500, 0.686).



No. 11
Below is TaAl2Mo after structural relaxation, with properties calculated at the PBEsol level.

The structure belongs to space group Immm (No. 71); the cell edges are 3.358, 4.331 and 8.597 Å and the angles 90.00°, 90.00° and 90.00°. The distinct sites, in fractional coordinates, are Ta at (0.000, 0.000, 0.000), Al at (0.000, 0.500, 0.244) and Mo at (0.000, 0.000, 0.500).



No. 12
Below is TaAl2Mo after structural relaxation, with properties calculated at the PBEsol level.

The structure belongs to space group P4mm (No. 99); the cell edges are 2.739, 2.739 and 8.528 Å and the angles 90.00°, 90.00° and 90.00°. The distinct sites, in fractional coordinates, are Ta at (0.000, 0.000, 0.000), Al at (0.000, 0.000, 0.496), Al at (0.500, 0.500, 0.243) and Mo at (0.500, 0.500, 0.729).



Number 1: calculated density 5.07 g cm⁻³, final energy -6.67 eV/atom, volume 58.27 Å³ per cell. Number 2: calculated density 7.13 g cm⁻³, final energy -8.45 eV/atom, volume 57.52 Å³ per cell. Number 3: calculated density 5.80 g cm⁻³, final energy -7.37 eV/atom, volume 517.70 Å³ per cell. Number 4: calculated density 4.40 g cm⁻³, final energy -5.10 eV/atom, volume 1846.46 Å³ per cell. Number 5: calculated density 5.10 g cm⁻³, final energy -5.05 eV/atom, volume 154.58 Å³ per cell. Number 6: calculated density 4.91 g cm⁻³, final energy -4.85 eV/atom, volume 160.65 Å³ per cell. Number 7: calculated density 4.99 g cm⁻³, final energy -5.02 eV/atom, volume 158.10 Å³ per cell. Number 8: calculated density 6.33 g cm⁻³, final energy -7.11 eV/atom, volume 80.34 Å³ per cell. Number 9: calculated density 6.83 g cm⁻³, final energy -6.63 eV/atom, volume 298.06 Å³ per cell. Number 10: calculated density 4.57 g cm⁻³, final energy -5.09 eV/atom, volume 86.27 Å³ per cell. Number 11: calculated density 8.79 g cm⁻³, final energy -8.31 eV/atom, volume 125.01 Å³ per cell. Number 12: calculated density 8.59 g cm⁻³, final energy -8.09 eV/atom, volume 63.96 Å³ per cell.